[1]
Compound: PmSnB4
Source: OQMD via LeMat-Bulk
Functional: PBE
Structure: optimized geometry

Results
The crystal system is orthorhombic.

Lattice parameters (Å, degrees): 5.3144 5.3144 5.3144 144.46 119.42 72.24
Positions (direct):
1 Pm 0.0000 0.0000 0.0000
2 Sn 0.5000 0.5000 0.0000
3 B 0.0688 0.7413 0.3275
4 B 0.4139 0.7413 0.6725
5 B 0.5861 0.2586 0.3275
6 B 0.9312 0.2586 0.6725


[2]
Compound: PmSnB
Source: OQMD via LeMat-Bulk
Functional: PBE
Structure: optimized geometry

Results
The crystal system is cubic.

Lattice parameters (Å, degrees): 4.4768 4.4768 4.4768 60.00 60.00 60.00
Positions (direct):
1 Pm 0.0000 0.0000 0.0000
2 Sn 0.5000 0.5000 0.5000
3 B 0.2500 0.2500 0.2500


[3]
Compound: PmSnB4
Source: OQMD via LeMat-Bulk
Functional: PBE
Structure: optimized geometry

Results
The crystal system is hexagonal.

Lattice parameters (Å, degrees): 3.2351 3.2351 8.2814 90.00 90.00 120.00
Positions (direct):
1 Pm 0.0000 0.0000 0.0000
2 Sn 0.0000 0.0000 0.5000
3 B 0.3333 0.6667 0.2479
4 B 0.3333 0.6667 0.7521
5 B 0.6667 0.3333 0.2479
6 B 0.6667 0.3333 0.7521


[4]
Compound: PmSnB
Source: OQMD via LeMat-Bulk
Functional: PBE
Structure: optimized geometry

Results
The crystal system is cubic.

Lattice parameters (Å, degrees): 4.7337 4.7337 4.7337 60.00 60.00 60.00
Positions (direct):
1 Pm 0.0000 0.0000 0.0000
2 Sn 0.7500 0.7500 0.7500
3 B 0.5000 0.5000 0.5000


[5]
Compound: SrPmB
Source: OQMD via LeMat-Bulk
Functional: PBE
Structure: optimized geometry

Results
The crystal system is cubic.

Lattice parameters (Å, degrees): 4.7934 4.7934 4.7934 60.00 60.00 60.00
Positions (direct):
1 Sr 0.0000 0.0000 0.0000
2 Pm 0.5000 0.5000 0.5000
3 B 0.7500 0.7500 0.7500


[6]
Compound: TbPmB
Source: OQMD via LeMat-Bulk
Functional: PBE
Structure: optimized geometry

Results
The crystal system is cubic.

Lattice parameters (Å, degrees): 4.5954 4.5954 4.5954 60.00 60.00 60.00
Positions (direct):
1 Tb 0.0000 0.0000 0.0000
2 Pm 0.5000 0.5000 0.5000
3 B 0.7500 0.7500 0.7500


[7]
Compound: PmThB4
Source: OQMD via LeMat-Bulk
Functional: PBE
Structure: optimized geometry

Results
The crystal system is orthorhombic.

Lattice parameters (Å, degrees): 5.3039 5.3039 5.3039 143.31 114.06 77.90
Positions (direct):
1 Pm 0.0000 0.0000 0.0000
2 Th 0.5000 0.5000 0.0000
3 B 0.0831 0.7500 0.3331
4 B 0.4169 0.7500 0.6669
5 B 0.5831 0.2500 0.3331
6 B 0.9169 0.2500 0.6669


[8]
Compound: PmThB4
Source: OQMD via LeMat-Bulk
Functional: PBE
Structure: optimized geometry

Results
The crystal system is hexagonal.

Lattice parameters (Å, degrees): 3.3301 3.3301 8.2625 90.00 90.00 120.00
Positions (direct):
1 Pm 0.0000 0.0000 0.0000
2 Th 0.0000 0.0000 0.5000
3 B 0.3333 0.6667 0.2468
4 B 0.3333 0.6667 0.7532
5 B 0.6667 0.3333 0.2468
6 B 0.6667 0.3333 0.7532


[9]
Compound: PmTlB4
Source: OQMD via LeMat-Bulk
Functional: PBE
Structure: optimized geometry

Results
The crystal system is orthorhombic.

Lattice parameters (Å, degrees): 5.3774 5.3774 5.3774 144.77 119.79 71.72
Positions (direct):
1 Pm 0.0000 0.0000 0.0000
2 Tl 0.5000 0.5000 0.0000
3 B 0.0646 0.7398 0.3248
4 B 0.4150 0.7398 0.6752
5 B 0.5850 0.2602 0.3248
6 B 0.9354 0.2602 0.6752


[10]
Compound: PmTlB4
Source: OQMD via LeMat-Bulk
Functional: PBE
Structure: optimized geometry

Results
The crystal system is hexagonal.

Lattice parameters (Å, degrees): 3.2241 3.2241 9.1972 90.00 90.00 120.00
Positions (direct):
1 Pm 0.0000 0.0000 0.0000
2 Tl 0.0000 0.0000 0.5000
3 B 0.3333 0.6667 0.2206
4 B 0.3333 0.6667 0.7794
5 B 0.6667 0.3333 0.2206
6 B 0.6667 0.3333 0.7794


[11]
Compound: PmTmB4
Source: OQMD via LeMat-Bulk
Functional: PBE
Structure: optimized geometry

Results
The crystal system is hexagonal.

Lattice parameters (Å, degrees): 3.2930 3.2930 7.8615 90.00 90.00 120.00
Positions (direct):
1 Pm 0.0000 0.0000 0.0000
2 Tm 0.0000 0.0000 0.5000
3 B 0.3333 0.6667 0.2634
4 B 0.3333 0.6667 0.7366
5 B 0.6667 0.3333 0.2634
6 B 0.6667 0.3333 0.7366


[12]
Compound: PmTmB4
Source: OQMD via LeMat-Bulk
Functional: PBE
Structure: optimized geometry

Results
The crystal system is orthorhombic.

Lattice parameters (Å, degrees): 5.1326 5.1326 5.1326 142.49 112.21 80.14
Positions (direct):
1 Pm 0.0000 0.0000 0.0000
2 Tm 0.5000 0.5000 0.0000
3 B 0.0855 0.7520 0.3335
4 B 0.4184 0.7520 0.6665
5 B 0.5816 0.2480 0.3335
6 B 0.9145 0.2480 0.6665


no.,polymorph energy (0 for the lowest one) (meV/atom),calculated volume (Å³ per atom),magnetic moment (μB per cell)
1,0,12.440,0.00
2,0,21.148,0.00
3,148,12.510,0.00
4,791,25.002,0.01
5,0,25.960,0.00
6,0,22.873,0.20
7,6,13.249,0.00
8,0,13.226,0.00
9,0,12.753,0.00
10,164,13.799,0.01
11,0,12.304,0.00
12,29,12.369,0.00